Material: NaTbHgS3
Method: DFT, PBE-GGA
State: relaxed

Results
The calculation puts the size of the total moment at 0.005 Bohr magnetons per cell. The calculation puts the total energy at -4.228 eV/atom. The calculation puts the offset from the most stable computed form at 52 meV per atom.

Lattice parameters (Å, degrees): 7.915 4.071 16.710 90.00 90.00 90.00
Space group Pnma (No. 62)
Symmetry-distinct sites (fractional):
Na1 0.079 0.250 0.192
Tb1 0.225 0.250 0.964
Hg1 0.054 0.250 0.667
S1 0.012 0.250 0.426
S2 0.123 0.750 0.061
S3 0.211 0.250 0.795



Material: NaTbHgS3
Method: DFT, PBE-GGA
State: relaxed

Results
The calculation puts the size of the total moment at 0.003 Bohr magnetons per cell. The calculation puts the total energy at -4.267 eV/atom. The calculation puts the offset from the most stable computed form at 12 meV per atom.

Lattice parameters (Å, degrees): 7.902 4.077 10.484 90.00 106.48 90.00
Space group P2_1/m (No. 11)
Symmetry-distinct sites (fractional):
Na1 0.185 0.250 0.154
Tb1 0.329 0.750 0.856
Hg1 0.077 0.250 0.615
S1 0.082 0.250 0.859
S2 0.253 0.750 0.568
S3 0.434 0.750 0.130



Material: NaTbHgS3
Method: DFT, PBE-GGA
State: relaxed

Results
The calculation puts the size of the total moment at 0.025 Bohr magnetons per cell. The calculation puts the total energy at -4.249 eV/atom. The calculation puts the offset from the most stable computed form at 30 meV per atom.

Lattice parameters (Å, degrees): 4.053 13.351 10.797 90.00 90.00 90.00
Space group Cmcm (No. 63)
Symmetry-distinct sites (fractional):
Na1 0.000 0.242 0.250
Tb1 0.000 0.500 0.000
Hg1 0.000 0.046 0.750
S1 0.000 0.137 0.550
S2 0.000 0.418 0.750